Compound: La2ZrHPb
Source: the Alexandria database
Functional: PBE-GGA
Structure: optimized geometry

* total magnetization: 0.00 μB/f.u.
* energy: -5.39 eV per atom

Cell: 4.9911 4.9911 4.7923 Å, 90.00 90.00 90.00°
Space group P4/mmm (No. 123)
Unique sites:
La 0.0000 0.5000 0.0000 [2 per cell]
Zr 0.0000 0.0000 0.5000 [1 per cell]
H 0.0000 0.0000 0.0000 [1 per cell]
Pb 0.5000 0.5000 0.5000 [1 per cell]

---

Compound: LaH3Pd3
Source: the Alexandria database
Functional: PBE-GGA
Structure: optimized geometry

* total magnetization: 0.00 μB/f.u.
* energy: -4.60 eV per atom

Cell: 5.5296 5.5296 20.8905 Å, 90.00 90.00 120.00°
Space group R-3 (No. 148, hexagonal axes)
Unique sites:
La 0.0000 0.0000 0.1869 [6 per cell]
H 0.0037 0.2642 0.7207 [18 per cell]
Pd 0.0029 0.4109 0.2743 [18 per cell]

---

Compound: La2HPd4
Source: the Alexandria database
Functional: PBE-GGA
Structure: optimized geometry

* total magnetization: 0.00 μB/f.u.
* energy: -5.40 eV per atom

Cell: 3.8550 3.8550 18.7151 Å, 90.00 90.00 90.00°
Space group I4/mmm (No. 139)
Unique sites:
La 0.0000 0.0000 0.1323 [4 per cell]
H 0.0000 0.0000 0.5000 [2 per cell]
Pd 0.0000 0.0000 0.2919 [4 per cell]
Pd 0.0000 0.5000 0.0000 [4 per cell]

---

Compound: LaH2Pd4
Source: the Alexandria database
Functional: PBE-GGA
Structure: optimized geometry

* total magnetization: 0.00 μB/f.u.
* energy: -5.00 eV per atom

Cell: 6.9971 6.9971 4.2643 Å, 90.00 90.00 90.00°
Space group P4_2/mnm (No. 136)
Unique sites:
La 0.0000 0.0000 0.0000 [2 per cell]
H 0.2246 0.2246 0.5000 [4 per cell]
Pd 0.0062 0.6948 0.5000 [8 per cell]

---

Compound: La2HPd
Source: the Alexandria database
Functional: PBE-GGA
Structure: optimized geometry

* total magnetization: 0.00 μB/f.u.
* energy: -5.03 eV per atom

Cell: 3.9292 3.9292 21.3012 Å, 90.00 90.00 120.00°
Space group R3m (No. 160, hexagonal axes)
Unique sites:
La 0.0000 0.0000 0.0000 [3 per cell]
La 0.0000 0.0000 0.1578 [3 per cell]
H 0.0000 0.0000 0.7461 [3 per cell]
Pd 0.0000 0.0000 0.5799 [3 per cell]

---

Compound: LaH2Pd
Source: the Alexandria database
Functional: PBE-GGA
Structure: optimized geometry

* total magnetization: 0.00 μB/f.u.
* energy: -4.77 eV per atom

Cell: 6.3506 5.8494 6.6158 Å, 90.00 101.38 90.00°
Space group P2_1/c (No. 14)
Unique sites:
La 0.2317 0.0149 0.2914 [4 per cell]
H 0.1113 0.6551 0.4416 [4 per cell]
H 0.4002 0.1430 0.6479 [4 per cell]
Pd 0.3016 0.5126 0.3326 [4 per cell]

---

Compound: LaH3Pd
Source: the Alexandria database
Functional: PBE-GGA
Structure: optimized geometry

* total magnetization: 0.00 μB/f.u.
* energy: -4.56 eV per atom

Cell: 3.8358 3.8358 3.8358 Å, 90.00 90.00 90.00°
Space group Pm-3m (No. 221)
Unique sites:
La 0.0000 0.0000 0.0000 [1 per cell]
H 0.0000 0.5000 0.5000 [3 per cell]
Pd 0.5000 0.5000 0.5000 [1 per cell]

---

Compound: LaH2Pd
Source: the Alexandria database
Functional: PBE-GGA
Structure: optimized geometry

* total magnetization: 0.00 μB/f.u.
* energy: -4.58 eV per atom

Cell: 6.0586 6.0586 6.0586 Å, 90.00 90.00 90.00°
Space group Fm-3m (No. 225)
Unique sites:
La 0.0000 0.0000 0.0000 [4 per cell]
H 0.2500 0.2500 0.2500 [8 per cell]
Pd 0.0000 0.0000 0.5000 [4 per cell]